Compound: Nd3Pu3MgTe8
Source: the Alexandria database
Functional: PBE-GGA
Structure: optimized geometry

a = 8.912 Å, b = 8.912 Å, c = 8.912 Å
α = 59.98°, β = 59.98°, γ = 59.98°
Positions (direct):
Nd1 0.000 0.500 0.500
Nd2 0.500 0.000 0.500
Nd3 0.500 0.500 0.000
Pu1 0.000 0.000 0.500
Pu2 0.000 0.500 0.000
Pu3 0.500 0.000 0.000
Mg1 0.500 0.500 0.500
Te1 0.248 0.248 0.248
Te2 0.254 0.743 0.743
Te3 0.257 0.257 0.746
Te4 0.257 0.746 0.257
Te5 0.743 0.254 0.743
Te6 0.743 0.743 0.254
Te7 0.746 0.257 0.257
Te8 0.752 0.752 0.752

Values from the calculation:
space group = R-3m, No. 166

Compound: Ba3Sm3ErSe8
Source: the Alexandria database
Functional: PBE-GGA
Structure: optimized geometry

a = 8.544 Å, b = 8.544 Å, c = 9.020 Å
α = 118.23°, β = 118.23°, γ = 60.02°
Positions (direct):
Ba1 0.000 0.000 0.000
Ba2 0.000 0.500 0.000
Ba3 0.500 0.000 0.000
Sm1 0.000 0.500 0.500
Sm2 0.500 0.000 0.500
Sm3 0.500 0.500 0.500
Er1 0.000 0.000 0.500
Se1 0.234 0.234 0.712
Se2 0.234 0.744 0.712
Se3 0.256 0.766 0.288
Se4 0.260 0.260 0.281
Se5 0.740 0.740 0.719
Se6 0.744 0.234 0.712
Se7 0.766 0.256 0.288
Se8 0.766 0.766 0.288

Values from the calculation:
space group = C2/m, No. 12

Compound: KLiMg
Source: the Alexandria database
Functional: PBE-GGA
Structure: optimized geometry

a = 5.802 Å, b = 5.802 Å, c = 3.477 Å
α = 90.00°, β = 90.00°, γ = 120.00°
Positions (direct):
K1 0.000 0.000 0.000
Li1 0.667 0.333 0.336
Mg1 0.333 0.667 0.571

Values from the calculation:
E above lowest polymorph = 0.134 eV/atom
space group = P3m1, No. 156
ΔE_f = 62 kJ/mol of formula units

Compound: YSi2Sn2
Source: the Alexandria database
Functional: PBE-GGA
Structure: optimized geometry

a = 4.193 Å, b = 4.193 Å, c = 13.759 Å
α = 90.00°, β = 90.00°, γ = 90.00°
Positions (direct):
Y1 0.000 0.000 0.000
Y2 0.500 0.500 0.500
Si1 0.000 0.000 0.417
Si2 0.000 0.000 0.583
Si3 0.500 0.500 0.083
Si4 0.500 0.500 0.917
Sn1 0.000 0.500 0.250
Sn2 0.000 0.500 0.750
Sn3 0.500 0.000 0.250
Sn4 0.500 0.000 0.750

Values from the calculation:
E above lowest polymorph = 0.121 eV/atom
space group = I4/mmm, No. 139

Compound: BeSeBr2
Source: the Alexandria database
Functional: PBE-GGA
Structure: optimized geometry

a = 3.159 Å, b = 7.535 Å, c = 11.764 Å
α = 90.00°, β = 90.00°, γ = 90.00°
Positions (direct):
Be1 0.000 0.000 0.000
Be2 0.500 0.500 0.000
Se1 0.000 0.000 0.500
Se2 0.500 0.500 0.500
Br1 0.000 0.500 0.135
Br2 0.000 0.500 0.865
Br3 0.500 0.000 0.135
Br4 0.500 0.000 0.865

Values from the calculation:
E above lowest polymorph = 0.370 eV/atom
space group = Cmmm, No. 65

Compound: KPrMgCl6
Source: the Alexandria database
Functional: PBE-GGA
Structure: optimized geometry

a = 6.968 Å, b = 6.968 Å, c = 13.646 Å
α = 90.00°, β = 90.00°, γ = 120.00°
Positions (direct):
K1 0.000 0.000 0.000
K2 0.000 0.000 0.500
Pr1 0.333 0.667 0.250
Pr2 0.667 0.333 0.750
Mg1 0.333 0.667 0.750
Mg2 0.667 0.333 0.250
Cl1 0.026 0.383 0.641
Cl2 0.026 0.643 0.859
Cl3 0.357 0.383 0.859
Cl4 0.357 0.974 0.641
Cl5 0.383 0.026 0.141
Cl6 0.383 0.357 0.359
Cl7 0.617 0.643 0.641
Cl8 0.617 0.974 0.859
Cl9 0.643 0.026 0.359
Cl10 0.643 0.617 0.141
Cl11 0.974 0.357 0.141
Cl12 0.974 0.617 0.359

Values from the calculation:
space group = P-31c, No. 163

Compound: YOsPtAu2
Source: the Alexandria database
Functional: PBE-GGA
Structure: optimized geometry

a = 5.237 Å, b = 5.237 Å, c = 5.067 Å
α = 90.00°, β = 90.00°, γ = 90.00°
Positions (direct):
Y1 0.000 0.000 0.000
Os1 0.500 0.500 0.500
Pt1 0.000 0.000 0.500
Au1 0.000 0.500 0.000
Au2 0.500 0.000 0.000

Values from the calculation:
E above lowest polymorph = 0.773 eV/atom
space group = P4/mmm, No. 123
ΔE_f = 823 kJ/mol of formula units

Compound: Nb2GaGe
Source: the Alexandria database
Functional: PBE-GGA
Structure: optimized geometry

a = 5.243 Å, b = 3.780 Å, c = 7.261 Å
α = 90.00°, β = 110.31°, γ = 90.00°
Positions (direct):
Nb1 0.204 0.250 0.429
Nb2 0.213 0.250 0.925
Nb3 0.787 0.750 0.075
Nb4 0.796 0.750 0.571
Ga1 0.322 0.750 0.206
Ga2 0.678 0.250 0.794
Ge1 0.336 0.750 0.708
Ge2 0.664 0.250 0.292

Values from the calculation:
space group = P2_1/m, No. 11
ΔE_f = -124 kJ/mol of formula units

Compound: CdIn
Source: the Alexandria database
Functional: PBE-GGA
Structure: optimized geometry

a = 5.860 Å, b = 5.510 Å, c = 6.292 Å
α = 90.00°, β = 90.00°, γ = 90.00°
Positions (direct):
Cd1 0.083 0.250 0.127
Cd2 0.417 0.750 0.627
Cd3 0.583 0.250 0.373
Cd4 0.917 0.750 0.873
In1 0.098 0.250 0.626
In2 0.402 0.750 0.126
In3 0.598 0.250 0.874
In4 0.902 0.750 0.374

Values from the calculation:
space group = Pnma, No. 62
ΔE_f = 9 kJ/mol of formula units

Compound: RbYSn2
Source: the Alexandria database
Functional: PBE-GGA
Structure: optimized geometry

a = 5.857 Å, b = 5.857 Å, c = 20.763 Å
α = 90.00°, β = 90.00°, γ = 90.00°
Positions (direct):
Rb1 0.000 0.000 0.000
Rb2 0.000 0.500 0.250
Rb3 0.500 0.000 0.750
Rb4 0.500 0.500 0.500
Y1 0.000 0.000 0.500
Y2 0.000 0.500 0.750
Y3 0.500 0.000 0.250
Y4 0.500 0.500 0.000
Sn1 0.109 0.250 0.625
Sn2 0.250 0.609 0.875
Sn3 0.250 0.891 0.375
Sn4 0.391 0.250 0.125
Sn5 0.609 0.750 0.125
Sn6 0.750 0.109 0.375
Sn7 0.750 0.391 0.875
Sn8 0.891 0.750 0.625

Values from the calculation:
E above lowest polymorph = 0.467 eV/atom
space group = I-42d, No. 122
ΔE_f = 14 kJ/mol of formula units

Compound: Pm2Y2Ho15
Source: the Alexandria database
Functional: PBE-GGA
Structure: optimized geometry

a = 8.702 Å, b = 8.702 Å, c = 8.702 Å
α = 80.12°, β = 80.12°, γ = 80.12°
Positions (direct):
Pm1 0.173 0.173 0.173
Pm2 0.827 0.827 0.827
Y1 0.401 0.401 0.401
Y2 0.599 0.599 0.599
Ho1 0.000 0.500 0.500
Ho2 0.133 0.133 0.649
Ho3 0.133 0.649 0.133
Ho4 0.201 0.500 0.799
Ho5 0.201 0.799 0.500
Ho6 0.351 0.867 0.867
Ho7 0.500 0.000 0.500
Ho8 0.500 0.201 0.799
Ho9 0.500 0.500 0.000
Ho10 0.500 0.799 0.201
Ho11 0.649 0.133 0.133
Ho12 0.799 0.201 0.500
Ho13 0.799 0.500 0.201
Ho14 0.867 0.351 0.867
Ho15 0.867 0.867 0.351

Values from the calculation:
space group = R-3m, No. 166
ΔE_f = 512 kJ/mol of formula units

Compound: LiYSnO2
Source: the Alexandria database
Functional: PBE-GGA
Structure: optimized geometry

a = 4.261 Å, b = 4.261 Å, c = 5.933 Å
α = 90.00°, β = 90.00°, γ = 90.00°
Positions (direct):
Li1 0.000 0.000 0.000
Y1 0.500 0.500 0.000
Sn1 0.500 0.500 0.500
O1 0.000 0.500 0.500
O2 0.500 0.000 0.500

Values from the calculation:
space group = P4/mmm, No. 123

| no. | calculated total energy (eV per atom) |
| --- | --- |
| 1 | -6.7977 |
| 2 | -5.4245 |
| 3 | -1.3227 |
| 4 | -5.0619 |
| 5 | -2.7113 |
| 6 | -4.1394 |
| 7 | -4.3526 |
| 8 | -7.2675 |
| 9 | -1.7817 |
| 10 | -3.8219 |
| 11 | -4.5153 |
| 12 | -4.5576 |